[1]
# Na2HgPAu (PBE, relaxed)
data_Na2HgPAu
_symmetry_space_group_name_H-M 'P 4/m m m'
_symmetry_Int_Tables_number 123
_symmetry_space_group_name_Hall '-P 4 2'
_cell_length_a 5.569
_cell_length_b 5.569
_cell_length_c 4.604
_cell_angle_alpha 90.00
_cell_angle_beta 90.00
_cell_angle_gamma 90.00
loop_
_atom_site_label
_atom_site_fract_x
_atom_site_fract_y
_atom_site_fract_z
Na1 0.000 0.500 0.000
Hg1 0.000 0.000 0.500
P1 0.500 0.500 0.000
Au1 0.500 0.500 0.500
# - density of states at the Fermi level (states/eV per atom) = 0.1553
# - spin magnetization (μB per cell) = 0.0
# - crystal system = tetragonal
# - uncorrected energy (eV/cell) = -12.800

[2]
# Er2AlSi3Ir4 (PBE, relaxed)
data_Er2AlSi3Ir4
_symmetry_space_group_name_H-M 'P -4 m 2'
_symmetry_Int_Tables_number 115
_cell_length_a 4.095
_cell_length_b 4.095
_cell_length_c 10.079
_cell_angle_alpha 90.00
_cell_angle_beta 90.00
_cell_angle_gamma 90.00
loop_
_symmetry_equiv_pos_as_xyz
'x,y,z'
'y,-x,-z'
'-x,-y,z'
'-y,x,-z'
'-x,y,z'
'-y,-x,-z'
'x,-y,z'
'y,x,-z'
loop_
_atom_site_label
_atom_site_fract_x
_atom_site_fract_y
_atom_site_fract_z
Er1 0.000 0.500 0.248
Al1 0.000 0.000 0.500
Si1 0.000 0.500 0.871
Si2 0.500 0.500 0.500
Ir1 0.000 0.000 0.000
Ir2 0.000 0.500 0.638
Ir3 0.500 0.500 0.000
# - density of states at the Fermi level (states/eV per atom) = 0.6304
# - ΔE_f (raw) (eV/atom) = -1.038
# - spin magnetization (μB per cell) = 0.0
# - crystal system = tetragonal
# - uncorrected energy (eV/cell) = -74.965

[3]
# Zr2TcOs (PBE, relaxed)
data_Zr2TcOs
_symmetry_space_group_name_H-M 'I m m m'
_symmetry_Int_Tables_number 71
_symmetry_space_group_name_Hall '-I 2 2'
_cell_length_a 3.307
_cell_length_b 4.916
_cell_length_c 8.741
_cell_angle_alpha 90.00
_cell_angle_beta 90.00
_cell_angle_gamma 90.00
loop_
_atom_site_label
_atom_site_fract_x
_atom_site_fract_y
_atom_site_fract_z
Zr1 0.000 0.000 0.247
Tc1 0.000 0.500 0.500
Os1 0.000 0.500 0.000
# - density of states at the Fermi level (states/eV per atom) = 0.8598
# - spin magnetization (μB per cell) = 0.0
# - crystal system = orthorhombic
# - uncorrected energy (eV/cell) = -78.292

[4]
# PrScGa3 (PBE, relaxed)
data_PrScGa3
_symmetry_space_group_name_H-M 'C m c m'
_symmetry_Int_Tables_number 63
_symmetry_space_group_name_Hall '-C 2c 2'
_cell_length_a 4.185
_cell_length_b 25.205
_cell_length_c 4.177
_cell_angle_alpha 90.00
_cell_angle_beta 90.00
_cell_angle_gamma 90.00
loop_
_atom_site_label
_atom_site_fract_x
_atom_site_fract_y
_atom_site_fract_z
Pr1 0.000 0.076 0.250
Sc1 0.000 0.205 0.750
Ga1 0.000 0.317 0.750
Ga2 0.000 0.375 0.250
Ga3 0.000 0.475 0.250
# - density of states at the Fermi level (states/eV per atom) = 0.6012
# - spin magnetization (μB per cell) = 0.0
# - crystal system = orthorhombic
# - uncorrected energy (eV/cell) = -93.376

[5]
# CsTc2SeS (PBE, relaxed)
data_CsTc2SeS
_symmetry_space_group_name_H-M 'P 1 21/m 1'
_symmetry_Int_Tables_number 11
_cell_length_a 7.918
_cell_length_b 3.996
_cell_length_c 8.120
_cell_angle_alpha 90.00
_cell_angle_beta 104.52
_cell_angle_gamma 90.00
loop_
_symmetry_equiv_pos_as_xyz
'x,y,z'
'-x,-y,-z'
'-x,y+1/2,-z'
'x,-y+1/2,z'
loop_
_atom_site_label
_atom_site_fract_x
_atom_site_fract_y
_atom_site_fract_z
Cs1 0.046 0.250 0.241
Tc1 0.495 0.750 0.877
Tc2 0.500 0.250 0.628
Se1 0.311 0.750 0.575
S1 0.339 0.750 0.088
# - density of states at the Fermi level (states/eV per atom) = 0.6730
# - ΔE_f (raw) (eV/atom) = -0.430
# - spin magnetization (μB per cell) = 0.0
# - crystal system = monoclinic
# - uncorrected energy (eV/cell) = -62.699

[6]
# AgPRu2 (PBE, relaxed)
data_AgPRu2
_symmetry_space_group_name_H-M 'C 1 2/m 1'
_symmetry_Int_Tables_number 12
_cell_length_a 6.842
_cell_length_b 2.909
_cell_length_c 6.387
_cell_angle_alpha 90.00
_cell_angle_beta 100.24
_cell_angle_gamma 90.00
loop_
_symmetry_equiv_pos_as_xyz
'x,y,z'
'-x,-y,-z'
'-x,y,-z'
'x,-y,z'
'x+1/2,y+1/2,z'
'-x+1/2,-y+1/2,-z'
'-x+1/2,y+1/2,-z'
'x+1/2,-y+1/2,z'
loop_
_atom_site_label
_atom_site_fract_x
_atom_site_fract_y
_atom_site_fract_z
Ag1 0.000 0.000 0.000
P1 0.000 0.500 0.500
Ru1 0.241 0.000 0.682
# - density of states at the Fermi level (states/eV per atom) = 0.5823
# - spin magnetization (μB per cell) = 0.0
# - crystal system = monoclinic
# - uncorrected energy (eV/cell) = -53.314